[1]
Material: LiSmTeI
Method: DFT, PBE-GGA
State: relaxed

Cell lengths 4.312, 4.312, 8.038 Å; angles 74.44, 74.44, 60.00 degrees
Element x y z (fractional)
1 Li 0.133 0.133 0.600
2 Sm 0.597 0.597 0.210
3 Te 0.847 0.847 0.460
4 I 0.353 0.353 0.942

Values from the calculation:
The calculation puts the density of states at the Fermi level at 1.80 states/eV/f.u. For the formation energy from raw total energies, the calculation gives -1.146 eV/atom. The total energy comes out at -3.977 eV per atom.

---

[2]
Material: HfCr2Bi
Method: DFT, PBE-GGA
State: relaxed

Cell lengths 7.609, 7.609, 6.136 Å; angles 51.68, 51.68, 90.00 degrees
Each line ends with the local moment (μB).
Element x y z (fractional)
1 Cr 0.618 0.125 0.250  3.20
2 Cr 0.132 0.625 0.250  3.26
3 Cr 0.375 0.382 0.750  3.23
4 Cr 0.875 0.868 0.750  3.28
5 Hf 0.500 0.500 0.000  -0.15
6 Hf 0.250 0.750 0.500  -0.14
7 Bi 0.000 0.000 0.000  -0.09
8 Bi 0.750 0.250 0.500  -0.09

Values from the calculation:
The calculation puts the density of states at the Fermi level at 3.58 states/eV/f.u. The value obtained for the formation energy is 0.85 eV per atom. The total energy comes out at -7.421 eV per atom.

---

[3]
Material: Al2InOs
Method: DFT, PBE-GGA
State: relaxed

Cell lengths 9.162, 9.162, 9.162 Å; angles 18.73, 18.73, 18.73 degrees
Element x y z (fractional)
1 Os 0.743 0.743 0.743
2 Al 0.007 0.007 0.007
3 Al 0.256 0.256 0.256
4 In 0.494 0.494 0.494

Values from the calculation:
The calculation puts the density of states at the Fermi level at 1.70 states/eV/f.u. The value obtained for the formation energy is 0.17 eV per atom. The total energy comes out at -5.198 eV per atom.

---

[4]
Material: Th3Ag5S12
Method: DFT, PBE-GGA
State: relaxed

Cell lengths 13.431, 13.431, 13.431 Å; angles 109.47, 109.47, 109.47 degrees
Element x y z (fractional)
1 Th 0.750 0.375 0.125
2 Th 0.875 0.750 0.125
3 Th 0.375 0.750 0.625
4 Th 0.250 0.125 0.375
5 Th 0.875 0.125 0.250
6 Th 0.375 0.625 0.250
7 Th 0.625 0.375 0.750
8 Th 0.125 0.875 0.750
9 Th 0.750 0.875 0.625
10 Th 0.625 0.250 0.375
11 Th 0.125 0.250 0.875
12 Th 0.250 0.625 0.875
13 Ag 0.125 0.375 0.250
14 Ag 0.000 0.500 0.000
15 Ag 0.000 0.000 0.000
16 Ag 0.375 0.250 0.125
17 Ag 0.500 0.000 0.500
18 Ag 0.500 0.500 0.000
19 Ag 0.125 0.750 0.375
20 Ag 0.750 0.125 0.875
21 Ag 0.750 0.625 0.375
22 Ag 0.375 0.125 0.750
23 Ag 0.625 0.875 0.250
24 Ag 0.500 0.500 0.500
25 Ag 0.500 0.000 0.000
26 Ag 0.000 0.000 0.500
27 Ag 0.250 0.375 0.625
28 Ag 0.250 0.875 0.125
29 Ag 0.000 0.500 0.500
30 Ag 0.875 0.250 0.625
31 Ag 0.625 0.750 0.875
32 Ag 0.875 0.625 0.750
33 S 0.715 0.131 0.046
34 S 0.330 0.546 0.414
35 S 0.954 0.369 0.285
36 S 0.546 0.215 0.131
37 S 0.584 0.715 0.670
38 S 0.954 0.586 0.170
39 S 0.330 0.785 0.416
40 S 0.086 0.916 0.131
41 S 0.586 0.954 0.670
42 S 0.715 0.584 0.170
43 S 0.785 0.454 0.369
44 S 0.830 0.914 0.046
45 S 0.131 0.715 0.546
46 S 0.369 0.414 0.084
47 S 0.084 0.914 0.369
48 S 0.416 0.131 0.586
49 S 0.084 0.170 0.215
50 S 0.454 0.670 0.086
51 S 0.830 0.916 0.285
52 S 0.131 0.416 0.086
53 S 0.369 0.954 0.785
54 S 0.586 0.631 0.416
55 S 0.914 0.830 0.546
56 S 0.785 0.330 0.916
57 S 0.414 0.369 0.584
58 S 0.086 0.170 0.454
59 S 0.215 0.670 0.084
60 S 0.170 0.084 0.715
61 S 0.631 0.046 0.215
62 S 0.869 0.584 0.914
63 S 0.546 0.330 0.914
64 S 0.584 0.869 0.414
65 S 0.916 0.830 0.785
66 S 0.916 0.086 0.631
67 S 0.869 0.285 0.454
68 S 0.170 0.086 0.954
69 S 0.631 0.586 0.916
70 S 0.414 0.046 0.330
71 S 0.285 0.416 0.830
72 S 0.215 0.546 0.631
73 S 0.914 0.084 0.869
74 S 0.670 0.215 0.584
75 S 0.454 0.785 0.869
76 S 0.046 0.414 0.830
77 S 0.416 0.285 0.330
78 S 0.046 0.631 0.715
79 S 0.670 0.454 0.586
80 S 0.285 0.869 0.954

Values from the calculation:
The calculation puts the density of states at the Fermi level at 13.06 states/eV/f.u. For the formation energy from raw total energies, the calculation gives -0.733 eV/atom. The total energy comes out at -5.035 eV per atom.

---

[5]
Material: CeAlBi
Method: DFT, PBE-GGA
State: relaxed

Cell lengths 4.671, 4.389, 8.454 Å; angles 90.00, 106.04, 90.00 degrees
Each line ends with the local moment (μB).
Element x y z (fractional)
1 Al 0.453 0.750 0.906  0.00
2 Al 0.547 0.250 0.094  0.00
3 Bi 0.748 0.750 0.496  -0.01
4 Bi 0.252 0.250 0.504  -0.01
5 Ce 0.907 0.250 0.813  0.52
6 Ce 0.093 0.750 0.187  0.52

Values from the calculation:
The calculation puts the density of states at the Fermi level at 5.51 states/eV/f.u. The value obtained for the formation energy is -0.31 eV per atom. The total energy comes out at -4.832 eV per atom.

---

[6]
Material: Li2SbI
Method: DFT, PBE-GGA
State: relaxed

Cell lengths 3.842, 3.842, 9.142 Å; angles 77.87, 77.87, 60.00 degrees
Element x y z (fractional)
1 I 0.500 0.500 0.500
2 Sb 0.000 0.000 0.000
3 Li 0.101 0.101 0.697
4 Li 0.899 0.899 0.303

Values from the calculation:
The calculation puts the density of states at the Fermi level at 0.90 states/eV/f.u. The polymorph energy (0 for the lowest one) is 0 meV per atom. For the formation energy from raw total energies, the calculation gives -0.505 eV/atom. The total energy comes out at -2.880 eV per atom.

---

[7]
Material: BiTe2IN
Method: DFT, PBE-GGA
State: relaxed

Cell lengths 6.129, 6.129, 4.384 Å; angles 90.00, 90.00, 90.00 degrees
Each line ends with the local moment (μB).
Element x y z (fractional)
1 I 0.500 0.500 0.500  0.09
2 Te 0.000 0.500 0.000  0.28
3 Te 0.500 0.000 0.000  0.28
4 Bi 0.000 0.000 0.000  -0.04
5 N 0.000 0.000 0.500  0.71

Values from the calculation:
The calculation puts the density of states at the Fermi level at 6.90 states/eV/f.u. The polymorph energy (0 for the lowest one) is 332 meV per atom. For the formation energy from raw total energies, the calculation gives 1.050 eV/atom. The total energy comes out at -2.958 eV per atom.

---

[8]
Material: PmCdNi
Method: DFT, PBE-GGA
State: relaxed

Cell lengths 3.956, 7.587, 12.866 Å; angles 90.00, 90.00, 90.00 degrees
Element x y z (fractional)
1 Pm 0.000 0.233 0.955
2 Pm 0.000 0.767 0.045
3 Pm 0.000 0.233 0.545
4 Pm 0.000 0.767 0.455
5 Pm 0.000 0.147 0.250
6 Pm 0.000 0.853 0.750
7 Cd 0.500 0.431 0.124
8 Cd 0.500 0.569 0.876
9 Cd 0.500 0.431 0.376
10 Cd 0.500 0.569 0.624
11 Cd 0.500 0.803 0.250
12 Cd 0.500 0.197 0.750
13 Ni 0.500 0.057 0.089
14 Ni 0.500 0.943 0.911
15 Ni 0.500 0.057 0.411
16 Ni 0.500 0.943 0.589
17 Ni 0.000 0.561 0.250
18 Ni 0.000 0.439 0.750

Values from the calculation:
The calculation puts the density of states at the Fermi level at 2.34 states/eV/f.u. The value obtained for the formation energy is -0.34 eV per atom. The polymorph energy (0 for the lowest one) is 0 meV per atom. The total energy comes out at -4.158 eV per atom.

---

[9]
Material: NdTm4Cd5
Method: DFT, PBE-GGA
State: relaxed

Cell lengths 3.713, 3.713, 18.803 Å; angles 90.00, 90.00, 90.00 degrees
Each line ends with the local moment (μB).
Element x y z (fractional)
1 Nd 0.000 0.000 0.000  0.17
2 Tm 0.000 0.000 0.207  0.02
3 Tm 0.000 0.000 0.402  0.01
4 Tm 0.000 0.000 0.598  0.01
5 Tm 0.000 0.000 0.793  0.02
6 Cd 0.500 0.500 0.111  0.01
7 Cd 0.500 0.500 0.304  0.00
8 Cd 0.500 0.500 0.500  0.00
9 Cd 0.500 0.500 0.696  0.00
10 Cd 0.500 0.500 0.889  0.01

Values from the calculation:
The calculation puts the density of states at the Fermi level at 9.05 states/eV/f.u. The value obtained for the formation energy is -0.31 eV per atom. The total energy comes out at -3.033 eV per atom.

---

[10]
Material: Sr2TlTc2
Method: DFT, PBE-GGA
State: relaxed

Cell lengths 9.455, 9.455, 2.936 Å; angles 90.00, 90.00, 90.00 degrees
Each line ends with the local moment (μB).
Element x y z (fractional)
1 Sr 0.370 0.870 0.000  -0.02
2 Sr 0.870 0.630 0.000  -0.02
3 Sr 0.630 0.130 0.000  -0.02
4 Sr 0.130 0.370 0.000  -0.02
5 Tl 0.000 0.000 0.000  -0.02
6 Tl 0.500 0.500 0.000  -0.02
7 Tc 0.172 0.672 0.500  1.01
8 Tc 0.672 0.828 0.500  1.01
9 Tc 0.828 0.328 0.500  1.01
10 Tc 0.328 0.172 0.500  1.01

Values from the calculation:
The calculation puts the density of states at the Fermi level at 6.21 states/eV/f.u. The value obtained for the formation energy is 1.21 eV per atom. The polymorph energy (0 for the lowest one) is 933 meV per atom. The total energy comes out at -4.084 eV per atom.

---

[11]
Material: PmPr3Tm12
Method: DFT, PBE-GGA
State: relaxed

Cell lengths 5.008, 5.008, 20.032 Å; angles 90.00, 90.00, 90.00 degrees
Element x y z (fractional)
1 Pm 0.000 0.000 0.000
2 Pr 0.000 0.000 0.250
3 Pr 0.000 0.000 0.500
4 Pr 0.000 0.000 0.750
5 Tm 0.500 0.500 0.000
6 Tm 0.500 0.500 0.249
7 Tm 0.500 0.500 0.500
8 Tm 0.500 0.500 0.751
9 Tm 0.500 0.000 0.124
10 Tm 0.500 0.000 0.375
11 Tm 0.500 0.000 0.625
12 Tm 0.500 0.000 0.876
13 Tm 0.000 0.500 0.124
14 Tm 0.000 0.500 0.375
15 Tm 0.000 0.500 0.625
16 Tm 0.000 0.500 0.876

Values from the calculation:
The calculation puts the density of states at the Fermi level at 24.24 states/eV/f.u. The value obtained for the formation energy is 0.03 eV per atom. The total energy comes out at -4.517 eV per atom.

---

[12]
Material: YSc2InN
Method: DFT, PBE-GGA
State: relaxed

Cell lengths 4.521, 4.521, 4.776 Å; angles 90.00, 90.00, 90.00 degrees
Element x y z (fractional)
1 Y 0.000 0.000 0.500
2 Sc 0.000 0.500 0.000
3 Sc 0.500 0.000 0.000
4 N 0.000 0.000 0.000
5 In 0.500 0.500 0.500

Values from the calculation:
The calculation puts the density of states at the Fermi level at 2.85 states/eV/f.u. The polymorph energy (0 for the lowest one) is 0 meV per atom. For the formation energy from raw total energies, the calculation gives -1.059 eV/atom. The total energy comes out at -7.097 eV per atom.

---

[13]
Material: Sr2CoRu
Method: DFT, PBE-GGA
State: relaxed

Cell lengths 3.471, 3.471, 8.864 Å; angles 90.00, 90.00, 90.02 degrees
Each line ends with the local moment (μB).
Element x y z (fractional)
1 Co 0.000 0.000 0.593  1.70
2 Ru 0.500 0.500 0.658  0.86
3 Sr 0.000 0.000 0.917  -0.02
4 Sr 0.500 0.500 0.332  -0.02

Values from the calculation:
The calculation puts the density of states at the Fermi level at 5.30 states/eV/f.u. The value obtained for the formation energy is 0.40 eV per atom. The total energy comes out at -4.533 eV per atom.

---

[14]
Material: NbVSi
Method: DFT, PBE-GGA
State: relaxed

Cell lengths 2.779, 2.779, 6.254 Å; angles 99.70, 80.53, 75.79 degrees
Element x y z (fractional)
1 Nb 0.992 0.271 0.825
2 V 0.679 0.582 0.455
3 Si 0.325 0.937 0.161

Values from the calculation:
The calculation puts the density of states at the Fermi level at 1.69 states/eV/f.u. For the formation energy from raw total energies, the calculation gives -0.242 eV/atom. The total energy comes out at -8.446 eV per atom.

---

[15]
Material: MnSbPt
Method: DFT, PBE-GGA
State: relaxed

Cell lengths 4.554, 4.554, 3.055 Å; angles 90.00, 90.00, 120.00 degrees
Each line ends with the local moment (μB).
Element x y z (fractional)
1 Mn 0.000 0.000 0.000  3.76
2 Pt 0.667 0.333 0.500  0.04
3 Sb 0.333 0.667 0.500  -0.04

Values from the calculation:
The calculation puts the density of states at the Fermi level at 0.90 states/eV/f.u. The polymorph energy (0 for the lowest one) is 293 meV per atom. For the formation energy from raw total energies, the calculation gives -0.077 eV/atom. The total energy comes out at -6.521 eV per atom.

---

[16]
Material: K2ZrTlBr8
Method: DFT, PBE-GGA
State: relaxed

Cell lengths 7.463, 6.129, 9.482 Å; angles 73.47, 90.07, 90.04 degrees
Each line ends with the local moment (μB).
Element x y z (fractional)
1 K 0.500 0.334 0.812  0.00
2 K 0.500 0.666 0.188  0.00
3 Zr 0.000 0.000 0.000  0.00
4 Tl 0.000 0.000 0.500  0.00
5 Br 0.001 0.657 0.248  0.00
6 Br 0.749 0.811 0.877  0.00
7 Br 0.751 0.189 0.125  0.00
8 Br 0.999 0.343 0.752  0.00
9 Br 0.251 0.189 0.123  0.00
10 Br 0.249 0.811 0.875  0.00
11 Br 0.500 0.754 0.505  0.08
12 Br 0.500 0.246 0.495  0.08

Values from the calculation:
The calculation puts the density of states at the Fermi level at 1.56 states/eV/f.u. For the formation energy from raw total energies, the calculation gives -1.281 eV/atom. The total energy comes out at -3.489 eV per atom.

---

[17]
Material: K6ZnBr8
Method: DFT, PBE-GGA
State: relaxed

Cell lengths 8.486, 8.486, 8.486 Å; angles 70.06, 70.06, 70.06 degrees
Element x y z (fractional)
1 K 0.057 0.479 0.703
2 K 0.297 0.943 0.521
3 K 0.521 0.297 0.943
4 K 0.479 0.703 0.057
5 K 0.703 0.057 0.479
6 K 0.943 0.521 0.297
7 Zn 0.000 0.000 0.000
8 Br 0.151 0.697 0.906
9 Br 0.094 0.849 0.303
10 Br 0.303 0.094 0.849
11 Br 0.656 0.656 0.656
12 Br 0.344 0.344 0.344
13 Br 0.697 0.906 0.151
14 Br 0.906 0.151 0.697
15 Br 0.849 0.303 0.094

Values from the calculation:
The calculation puts the density of states at the Fermi level at 0.00 states/eV/f.u. For the formation energy from raw total energies, the calculation gives -1.511 eV/atom. The total energy comes out at -2.927 eV per atom.

---

[18]
Material: SmYCdAg
Method: DFT, PBE-GGA
State: relaxed

Cell lengths 3.717, 3.717, 7.508 Å; angles 90.00, 90.00, 90.00 degrees
Element x y z (fractional)
1 Sm 0.500 0.500 0.114
2 Y 0.500 0.500 0.598
3 Cd 0.000 0.000 0.850
4 Ag 0.000 0.000 0.366

Values from the calculation:
The calculation puts the density of states at the Fermi level at 3.81 states/eV/f.u. The value obtained for the formation energy is -0.31 eV per atom. The polymorph energy (0 for the lowest one) is 0 meV per atom. The total energy comes out at -4.051 eV per atom.

---

[19]
Material: Te2RhSeI
Method: DFT, PBE-GGA
State: relaxed

Cell lengths 5.206, 5.206, 5.323 Å; angles 90.00, 90.00, 90.00 degrees
Element x y z (fractional)
1 I 0.000 0.000 0.500
2 Te 0.000 0.500 0.000
3 Te 0.500 0.000 0.000
4 Rh 0.000 0.000 0.000
5 Se 0.500 0.500 0.500

Values from the calculation:
The calculation puts the density of states at the Fermi level at 5.98 states/eV/f.u. The polymorph energy (0 for the lowest one) is 0 meV per atom. For the formation energy from raw total energies, the calculation gives 0.441 eV/atom. The total energy comes out at -3.293 eV per atom.

---

[20]
Material: Ga4Ag4Pd
Method: DFT, PBE-GGA
State: relaxed

Cell lengths 4.430, 6.311, 6.311 Å; angles 82.93, 69.45, 69.45 degrees
Element x y z (fractional)
1 Ga 0.674 0.326 0.326
2 Ga 0.326 0.674 0.674
3 Ga 0.000 0.674 0.326
4 Ga 0.000 0.326 0.674
5 Ag 0.669 0.662 0.001
6 Ag 0.331 0.338 0.999
7 Ag 0.670 0.999 0.662
8 Ag 0.330 0.001 0.338
9 Pd 0.000 0.000 0.000

Values from the calculation:
The calculation puts the density of states at the Fermi level at 3.35 states/eV/f.u. The value obtained for the formation energy is -0.07 eV per atom. The total energy comes out at -3.264 eV per atom.